# ZrGa2Ir2

ZrGa2Ir2 after structural relaxation (PBE-GGA, Alexandria).

Lattice parameters (Å, degrees): 4.025 4.025 21.758 90.00 90.00 90.00
Space group I4/mmm (No. 139)
Inequivalent atoms, fractional coordinates:
Zr 0.000 0.000 0.102 (multiplicity 4)
Ga 0.000 0.000 0.430 (multiplicity 4)
Ga 0.000 0.500 0.250 (multiplicity 4)
Ir 0.000 0.000 0.319 (multiplicity 4)
Ir 0.000 0.500 0.000 (multiplicity 4)

## Properties
D(E_F) ... 3.2 states/eV/f.u.
Distance to the lowest polymorph of the same formula ... 79 meV per atom
Formation energy ... -479 meV/atom
Total magnetization ... 0.000 Bohr magnetons per cell